Entry 1:
## Dy7Hg2Pd2 (PBE)

Data for Dy7Hg2Pd2 after structural relaxation.

Values from the calculation:
- DOS(E_F): 1.0063 states/eV/atom
- Total DFT energy (no corrections): -4.270 eV/atom
- Volume: 315 Å³/cell
- M_tot: 0.0 μB per formula unit
- E_form: -342.2 meV per atom

CIF file:
```
data_Dy7Hg2Pd2
_chemical_formula_sum 'Dy7 Hg2 Pd2'
_symmetry_space_group_name_H-M 'P 1'
_symmetry_Int_Tables_number 1
_cell_length_a 6.8053
_cell_length_b 6.8053
_cell_length_c 7.1510
_cell_angle_alpha 90.00
_cell_angle_beta 90.00
_cell_angle_gamma 108.00
loop_
_symmetry_equiv_pos_as_xyz
'x,y,z'
loop_
_atom_site_label
_atom_site_type_symbol
_atom_site_fract_x
_atom_site_fract_y
_atom_site_fract_z
Dy1 Dy 0.0000 0.0000 0.0000
Dy2 Dy 0.0000 0.5000 0.2576
Dy3 Dy 0.0000 0.5000 0.7424
Dy4 Dy 0.5000 0.0000 0.2576
Dy5 Dy 0.5000 0.0000 0.7424
Dy6 Dy 0.5000 0.5000 0.2507
Dy7 Dy 0.5000 0.5000 0.7493
Hg1 Hg 0.1823 0.1823 0.5000
Hg2 Hg 0.8177 0.8177 0.5000
Pd1 Pd 0.2908 0.7092 0.0000
Pd2 Pd 0.7092 0.2908 0.0000
```


Entry 2:
## DyHg2Pd5 (PBE)

Data for DyHg2Pd5 after structural relaxation.

Values from the calculation:
- DOS(E_F): 0.2699 states/eV/atom
- Total DFT energy (no corrections): -4.292 eV/atom
- Volume: 297 Å³/cell
- M_tot: 0.0 μB per formula unit
- Energy above the lowest structure with this stoichiometry: 97 meV/atom
- E_form: -396.1 meV per atom

CIF file:
```
data_DyHg2Pd5
_chemical_formula_sum 'Dy2 Hg4 Pd10'
_symmetry_space_group_name_H-M 'P 1'
_symmetry_Int_Tables_number 1
_cell_length_a 7.6003
_cell_length_b 7.6003
_cell_length_c 7.6003
_cell_angle_alpha 122.71
_cell_angle_beta 122.71
_cell_angle_gamma 85.36
loop_
_symmetry_equiv_pos_as_xyz
'x,y,z'
loop_
_atom_site_label
_atom_site_type_symbol
_atom_site_fract_x
_atom_site_fract_y
_atom_site_fract_z
Dy1 Dy 0.2500 0.2500 0.0000
Dy2 Dy 0.7500 0.7500 0.0000
Hg1 Hg 0.1543 0.6543 0.8086
Hg2 Hg 0.3457 0.1543 0.5000
Hg3 Hg 0.6543 0.8457 0.5000
Hg4 Hg 0.8457 0.3457 0.1914
Pd1 Pd 0.0000 0.0000 0.0000
Pd2 Pd 0.0252 0.8114 0.5000
Pd3 Pd 0.1886 0.6886 0.2138
Pd4 Pd 0.3114 0.5252 0.5000
Pd5 Pd 0.4748 0.9748 0.7862
Pd6 Pd 0.5000 0.5000 0.0000
Pd7 Pd 0.5252 0.0252 0.2138
Pd8 Pd 0.6886 0.4748 0.5000
Pd9 Pd 0.8114 0.3114 0.7862
Pd10 Pd 0.9748 0.1886 0.5000
```